Below is LiZrBePt after structural relaxation, with properties calculated at the GGA-PBE level.

Computed properties:
Energy of formation, eV per formula unit: -1.9

Structure (POSCAR):
```
LiZrBePt
1.0
0.000 3.108 3.108
3.108 0.000 3.108
3.108 3.108 0.000
Li Zr Be Pt
1 1 1 1
Cartesian
0.000 0.000 0.000
1.554 1.554 1.554
4.661 4.661 4.661
3.108 3.108 3.108
```